Record 1
Y3Cu2Ag PBE relaxed; E_form = -0.27 eV per atom; crystal system = tetragonal; energy = -0.196 Ha/atom; Fermi-level density of states = 2.9 states/eV per cell
1.0
3.5234 0.0000 0.0000
0.0000 3.5234 0.0000
0.0000 0.0000 10.7123
Y Cu Ag
3 2 1
Direct
0.0000 0.0000 0.0000 Y
0.0000 0.0000 0.3218 Y
0.0000 0.0000 0.6782 Y
0.5000 0.5000 0.1618 Cu
0.5000 0.5000 0.8382 Cu
0.5000 0.5000 0.5000 Ag

=====

Record 2
Y2CuAg PBE relaxed; E_form = -0.25 eV per atom; crystal system = monoclinic; energy = -0.192 Ha/atom; excess energy over the best structure of this formula in the dataset = 0.12 eV per formula unit; Fermi-level density of states = 3.5 states/eV per cell
1.0
3.7750 0.0000 0.0000
0.0000 4.6503 0.0000
-1.8575 0.0000 5.3684
Y Cu Ag
2 1 1
Direct
0.0000 0.0000 0.0000 Y
0.2810 0.5000 0.5661 Y
0.7159 0.0000 0.4380 Cu
0.5666 0.5000 0.1325 Ag

=====

Record 3
Y2Cu2Ag PBE relaxed; E_form = -0.27 eV per atom; crystal system = tetragonal; energy = -0.186 Ha/atom; excess energy over the best structure of this formula in the dataset = 0.06 eV per formula unit; Fermi-level density of states = 7.9 states/eV per cell
1.0
7.4290 0.0000 0.0000
0.0000 7.4290 0.0000
0.0000 0.0000 3.7697
Y Cu Ag
4 4 2
Direct
0.1775 0.3225 0.0000 Y
0.3225 0.8225 0.0000 Y
0.6775 0.1775 0.0000 Y
0.8225 0.6775 0.0000 Y
0.1189 0.6189 0.5000 Cu
0.3811 0.1189 0.5000 Cu
0.6189 0.8811 0.5000 Cu
0.8811 0.3811 0.5000 Cu
0.0000 0.0000 0.5000 Ag
0.5000 0.5000 0.5000 Ag

=====

Record 4
Y6CuAg5 PBE relaxed; E_form = -0.31 eV per atom; crystal system = orthorhombic; energy = -0.186 Ha/atom; Fermi-level density of states = 7.0 states/eV per cell
1.0
-2.5717 3.5938 7.7295
2.5717 -3.5938 7.7295
2.5717 3.5938 -7.7295
Y Cu Ag
6 1 5
Direct
0.0827 0.3364 0.7463 Y
0.2427 0.0000 0.2427 Y
0.4099 0.6636 0.7463 Y
0.5901 0.3364 0.2537 Y
0.7573 0.0000 0.7573 Y
0.9173 0.6636 0.2537 Y
0.0000 0.5000 0.5000 Cu
0.1695 0.1695 0.0000 Ag
0.3331 0.8331 0.5000 Ag
0.5000 0.5000 0.0000 Ag
0.6669 0.1669 0.5000 Ag
0.8305 0.8305 0.0000 Ag